No. 1
This record from the Open Quantum Materials Database describes a relaxed structure of Dy3Ho3Sb2Os. The functional is PBE.

Computed properties:
Theoretical density (Mg/m³): 9.7
Crystal system: hexagonal
Symmetry: P-62m
ΔE to the lowest computed polymorph (meV/atom): 0.0

abc: 8.171 8.171 4.205
angles: 90.00 90.00 120.00
Positions (direct):
1 Ho 0.000 0.237 0.500
2 Ho 0.237 0.000 0.500
3 Ho 0.763 0.763 0.500
4 Sb 0.667 0.333 0.500
5 Sb 0.333 0.667 0.500
6 Dy 0.607 0.000 0.000
7 Dy 0.000 0.607 0.000
8 Dy 0.393 0.393 0.000
9 Os 0.000 0.000 0.000

***

No. 2
This record from the Open Quantum Materials Database describes a relaxed structure of Dy3Ho3Sb2Os. The functional is PBE.

Computed properties:
Theoretical density (Mg/m³): 9.7
Crystal system: hexagonal
Symmetry: P-62m
ΔE to the lowest computed polymorph (meV/atom): 20.0

abc: 8.177 8.177 4.205
angles: 90.00 90.00 120.00
Positions (direct):
1 Os 0.000 0.000 0.000
2 Dy 0.238 0.000 0.500
3 Dy 0.762 0.762 0.500
4 Dy 0.000 0.238 0.500
5 Sb 0.667 0.333 0.500
6 Sb 0.333 0.667 0.500
7 Ho 0.607 0.000 0.000
8 Ho 0.000 0.607 0.000
9 Ho 0.393 0.393 0.000

***

No. 3
This record from the Open Quantum Materials Database describes a relaxed structure of DyHo3Sc2Sb2Os. The functional is PBE.

Computed properties:
Theoretical density (Mg/m³): 8.5
Crystal system: orthorhombic
Symmetry: Amm2

abc: 4.095 8.063 8.063
angles: 120.49 90.00 90.00
Positions (direct):
1 Os 0.000 0.994 0.994
2 Sc 0.000 0.612 0.001
3 Sc 0.000 0.001 0.612
4 Dy 0.000 0.395 0.395
5 Ho 0.500 0.999 0.240
6 Ho 0.500 0.755 0.755
7 Ho 0.500 0.240 0.999
8 Sb 0.500 0.331 0.673
9 Sb 0.500 0.673 0.331

***

No. 4
This record from the Open Quantum Materials Database describes a relaxed structure of Dy2HoSc3Sb2Os. The functional is PBE.

Computed properties:
Theoretical density (Mg/m³): 7.9
Crystal system: orthorhombic
Symmetry: Amm2

abc: 4.181 7.816 7.816
angles: 120.00 90.00 90.00
Positions (direct):
1 Os 0.000 0.000 0.000
2 Dy 0.000 0.000 0.605
3 Dy 0.000 0.605 0.000
4 Sb 0.500 0.667 0.333
5 Sb 0.500 0.333 0.667
6 Ho 0.000 0.395 0.395
7 Sc 0.500 0.000 0.227
8 Sc 0.500 0.773 0.773
9 Sc 0.500 0.227 0.000

***

No. 5
This record from the Open Quantum Materials Database describes a relaxed structure of DyHo2Tm3Sb2Os. The functional is PBE.

Computed properties:
Theoretical density (Mg/m³): 9.9
Crystal system: orthorhombic
Symmetry: Amm2

abc: 4.207 8.106 8.106
angles: 119.97 90.00 90.00
Positions (direct):
1 Tm 0.500 0.765 0.000
2 Tm 0.500 0.000 0.765
3 Tm 0.500 0.236 0.236
4 Dy 0.000 0.607 0.607
5 Sb 0.500 0.667 0.333
6 Sb 0.500 0.333 0.667
7 Ho 0.000 0.392 0.000
8 Ho 0.000 0.000 0.392
9 Os 0.000 0.001 0.001

***

No. 6
This record from the Open Quantum Materials Database describes a relaxed structure of Dy2Ho3TmSb2Os. The functional is PBE.

Computed properties:
Theoretical density (Mg/m³): 9.8
Crystal system: orthorhombic
Symmetry: Amm2

abc: 4.200 8.161 8.161
angles: 120.08 90.00 90.00
Positions (direct):
1 Os 0.000 0.006 0.006
2 Sb 0.500 0.333 0.665
3 Sb 0.500 0.665 0.333
4 Ho 0.500 0.999 0.238
5 Ho 0.500 0.765 0.765
6 Ho 0.500 0.238 0.999
7 Dy 0.000 0.606 0.999
8 Dy 0.000 0.999 0.606
9 Tm 0.000 0.390 0.390

***

Computed DFT total energy, in the same sequence as the records: -53.1 -52.9 -55.9 -59.0 -52.9 -52.9 eV/f.u..